A plane-wave DFT calculation with GGA-PBE was carried out for PaGa2Co2Ge after structural relaxation.

```
PaGa2Co2Ge
1.0
4.3379 0.0000 0.0000
0.0000 4.3379 0.0000
0.0000 0.0000 5.5488
Pa Ga Co Ge
1 2 2 1
Direct
0.0000 0.0000 0.0000 Pa
0.5000 0.5000 0.2383 Ga
0.5000 0.5000 0.7617 Ga
0.0000 0.5000 0.5000 Co
0.5000 0.0000 0.5000 Co
0.0000 0.0000 0.5000 Ge
```

Values from the calculation:
**Space group**: No. 123
**Raw total energy**: -5.76 eV per atom